# PuVHgO6 PBE+U relaxed
# energy = -7.5359 eV/atom
# M_tot = 3.00 μB/f.u.
# calculated volume = 13.72 Å³ per atom
# space-group type = P-31c, No. 163
data_PuVHgO6
_chemical_formula_sum 'Pu2 V2 Hg2 O12'
_symmetry_space_group_name_H-M 'P 1'
_symmetry_Int_Tables_number 1
_cell_length_a 5.400
_cell_length_b 5.400
_cell_length_c 9.779
_cell_angle_alpha 90.00
_cell_angle_beta 90.00
_cell_angle_gamma 120.00
loop_
_symmetry_equiv_pos_as_xyz
'x,y,z'
loop_
_atom_site_label
_atom_site_type_symbol
_atom_site_fract_x
_atom_site_fract_y
_atom_site_fract_z
Pu1 Pu 0.333 0.667 0.250
Pu2 Pu 0.667 0.333 0.750
V1 V 0.333 0.667 0.750
V2 V 0.667 0.333 0.250
Hg1 Hg 0.000 0.000 0.000
Hg2 Hg 0.000 0.000 0.500
O1 O 0.018 0.375 0.642
O2 O 0.018 0.643 0.858
O3 O 0.357 0.375 0.858
O4 O 0.357 0.982 0.642
O5 O 0.375 0.018 0.142
O6 O 0.375 0.357 0.358
O7 O 0.625 0.643 0.642
O8 O 0.625 0.982 0.858
O9 O 0.643 0.018 0.358
O10 O 0.643 0.625 0.142
O11 O 0.982 0.357 0.142
O12 O 0.982 0.625 0.358